VASP calculation (PBE-GGA) on an optimized crystal structure of PmYU2As4.

Cell lengths 4.0974, 7.0985, 7.2542 Å; angles 109.03, 90.00, 90.00 degrees
Last column: nearest neighbours and their distance in Å.
Atoms (fractional coordinates):
U  0.0000  0.5000  0.5000  6 As 2.91
U  0.5000  0.0000  0.5000  6 As 2.88
As  0.0000  0.2442  0.7423  3 U 2.88-2.91, 1 Y 2.93, 2 Pm 2.96
As  0.5000  0.7515  0.7448  3 U 2.88-2.91, 2 Y 2.93, 1 Pm 2.96
As  0.5000  0.2485  0.2552  3 U 2.88-2.91, 2 Y 2.93, 1 Pm 2.96
As  0.0000  0.7558  0.2577  3 U 2.88-2.91, 1 Y 2.93, 2 Pm 2.96
Y  0.0000  0.0000  0.0000  6 As 2.93
Pm  0.5000  0.5000  0.0000  6 As 2.96

space-group type	P2/m (10)
total moment	4.91	μB per formula unit
total DFT energy (no corrections)	-7.69	eV per atom